Below is a relaxed structure of Li4LaHg2, with properties calculated at the PBE level.

- Uncorrected energy: -2.185 eV/atom
- Formation enthalpy at 0 K: -0.3016 eV per atom
- Space group: P4_2/mnm

Cell lengths 4.498, 8.228, 8.228 Å; angles 90.00, 90.00, 90.00 degrees
Fractional positions:
Li  0.000  0.907  0.650
Li  0.500  0.407  0.850
Li  0.500  0.850  0.407
La  0.500  0.000  0.000
Hg  0.000  0.215  0.785
Li  0.000  0.350  0.093
Li  0.500  0.593  0.150
La  0.000  0.500  0.500
Li  0.000  0.650  0.907
Hg  0.500  0.715  0.715
Li  0.500  0.150  0.593
Li  0.000  0.093  0.350
Hg  0.500  0.285  0.285
Hg  0.000  0.785  0.215